## Ag2AsIr (PBE)

Data for a relaxed Ag2AsIr crystal.

- Calculated total energy: -35.67 eV/cell
- Magnetic moment: 0.0 μB per cell
- ΔH_f (0 K): 0.345 eV per atom

Cell lengths 5.3638, 10.1204, 3.0470 Å; angles 90.00, 123.92, 90.00 degrees
Sites, in units of the cell vectors:
Ag 0.2500 0.2500 0.0000
Ag 0.2500 0.7500 0.0000
Ag 0.7500 0.2500 0.0000
Ag 0.7500 0.7500 0.0000
As 0.0000 0.0000 0.5000
As 0.5000 0.5000 0.5000
Ir 0.0000 0.5000 0.5000
Ir 0.5000 0.0000 0.5000

=====

## FeCo2GeI (PBE)

Data for a relaxed FeCo2GeI crystal.

- Calculated total energy: -22.86 eV/cell
- Magnetic moment: 4.9 μB per cell
- Formation energy (no corrections): 115.5 kJ per mole of atoms

Cell lengths 4.4671, 4.4671, 4.8284 Å; angles 90.00, 90.00, 90.00 degrees
Sites, in units of the cell vectors:
Fe 0.0000 0.0000 0.0000
Co 0.0000 0.5000 0.0000
Co 0.5000 0.0000 0.0000
Ge 0.5000 0.5000 0.5000
I 0.0000 0.0000 0.5000

=====

## LiPrEuSi (PBE)

Data for a relaxed LiPrEuSi crystal.

- Calculated total energy: -94.13 eV/cell
- Magnetic moment: 29.9 μB per cell
- Formation energy (no corrections): -27.6 kJ per mole of atoms

Cell lengths 7.3985, 7.3985, 7.3985 Å; angles 90.00, 90.00, 90.00 degrees
Sites, in units of the cell vectors:
Li 0.0000 0.0000 0.0000
Li 0.0000 0.5000 0.5000
Li 0.5000 0.0000 0.5000
Li 0.5000 0.5000 0.0000
Pr 0.2500 0.2500 0.2500
Pr 0.2500 0.7500 0.7500
Pr 0.7500 0.2500 0.7500
Pr 0.7500 0.7500 0.2500
Eu 0.2500 0.2500 0.7500
Eu 0.2500 0.7500 0.2500
Eu 0.7500 0.2500 0.2500
Eu 0.7500 0.7500 0.7500
Si 0.0000 0.0000 0.5000
Si 0.0000 0.5000 0.0000
Si 0.5000 0.0000 0.0000
Si 0.5000 0.5000 0.5000

=====

## Ca2ZnGaPd2 (PBE)

Data for a relaxed Ca2ZnGaPd2 crystal.

- Calculated total energy: -44.78 eV/cell
- Magnetic moment: 0.0 μB per cell
- ΔH_f (0 K): -0.616 eV per atom

Cell lengths 8.2013, 8.2013, 8.2013 Å; angles 136.55, 63.26, 136.38 degrees
Sites, in units of the cell vectors:
Ca 0.1701 0.2454 0.4154
Ca 0.3299 0.7454 0.0753
Ca 0.6701 0.2546 0.9247
Ca 0.8299 0.7546 0.5846
Zn 0.2500 0.2500 0.0000
Zn 0.7500 0.7500 0.0000
Ga 0.2500 0.7500 0.5000
Ga 0.7500 0.2500 0.5000
Pd 0.1054 0.7431 0.8485
Pd 0.3946 0.2431 0.6377
Pd 0.6054 0.7569 0.3623
Pd 0.8946 0.2569 0.1515

=====

## Ce2Cu2Au3 (PBE)

Data for a relaxed Ce2Cu2Au3 crystal.

- Calculated total energy: -66.08 eV/cell
- Magnetic moment: 3.5 μB per cell
- ΔH_f (0 K): -0.450 eV per atom

Cell lengths 9.8262, 9.8262, 7.6781 Å; angles 90.00, 90.00, 156.38 degrees
Sites, in units of the cell vectors:
Ce 0.0585 0.9415 0.7500
Ce 0.1635 0.8365 0.2500
Ce 0.8365 0.1635 0.7500
Ce 0.9415 0.0585 0.2500
Cu 0.3001 0.6999 0.0348
Cu 0.3001 0.6999 0.4652
Cu 0.6999 0.3001 0.5348
Cu 0.6999 0.3001 0.9652
Au 0.2163 0.7837 0.7500
Au 0.4330 0.5670 0.5627
Au 0.4330 0.5670 0.9373
Au 0.5670 0.4330 0.0627
Au 0.5670 0.4330 0.4373
Au 0.7837 0.2163 0.2500

=====

## Na7Hg4Au (PBE)

Data for a relaxed Na7Hg4Au crystal.

- Calculated total energy: -16.31 eV/cell
- Magnetic moment: 0.0 μB per cell
- ΔH_f (0 K): -0.216 eV per atom

Cell lengths 5.3109, 5.3109, 13.0713 Å; angles 90.00, 90.00, 120.00 degrees
Sites, in units of the cell vectors:
Na 0.0000 0.0000 0.0000
Na 0.0000 0.0000 0.2733
Na 0.0000 0.0000 0.7267
Na 0.3333 0.6667 0.1546
Na 0.3333 0.6667 0.4357
Na 0.6667 0.3333 0.5643
Na 0.6667 0.3333 0.8454
Hg 0.3333 0.6667 0.6761
Hg 0.3333 0.6667 0.9110
Hg 0.6667 0.3333 0.0890
Hg 0.6667 0.3333 0.3239
Au 0.0000 0.0000 0.5000

=====

## Pr4Ho4Er3 (PBE)

Data for a relaxed Pr4Ho4Er3 crystal.

- Calculated total energy: -50.38 eV/cell
- Magnetic moment: 0.0 μB per cell
- Relative energy among the computed polymorphs: 0.26 eV per formula unit
- ΔH_f (0 K): 0.067 eV per atom

Cell lengths 3.5315, 5.6834, 18.1498 Å; angles 99.01, 95.58, 90.01 degrees
Sites, in units of the cell vectors:
Pr 0.0907 0.0902 0.1809
Pr 0.2311 0.7310 0.4623
Pr 0.7689 0.2690 0.5377
Pr 0.9093 0.9098 0.8191
Ho 0.0456 0.5449 0.0903
Ho 0.1807 0.1805 0.3610
Ho 0.8193 0.8195 0.6390
Ho 0.9544 0.4551 0.9097
Er 0.3642 0.3650 0.7294
Er 0.5000 0.0000 0.0000
Er 0.6358 0.6350 0.2706

=====

## Nd2Al2AgPd5 (PBE)

Data for a relaxed Nd2Al2AgPd5 crystal.

- Calculated total energy: -104.23 eV/cell
- Magnetic moment: 0.0 μB per cell
- ΔH_f (0 K): -0.628 eV per atom

Cell lengths 10.4609, 10.4609, 3.4607 Å; angles 90.00, 90.00, 90.00 degrees
Sites, in units of the cell vectors:
Nd 0.1768 0.3232 0.0000
Nd 0.3232 0.8232 0.0000
Nd 0.6768 0.1768 0.0000
Nd 0.8232 0.6768 0.0000
Al 0.1233 0.6233 0.0000
Al 0.3767 0.1233 0.0000
Al 0.6233 0.8767 0.0000
Al 0.8767 0.3767 0.0000
Ag 0.0000 0.0000 0.0000
Ag 0.5000 0.5000 0.0000
Pd 0.0000 0.5000 0.5000
Pd 0.0609 0.7919 0.5000
Pd 0.2081 0.0609 0.5000
Pd 0.2919 0.5609 0.5000
Pd 0.4391 0.2919 0.5000
Pd 0.5000 0.0000 0.5000
Pd 0.5609 0.7081 0.5000
Pd 0.7081 0.4391 0.5000
Pd 0.7919 0.9391 0.5000
Pd 0.9391 0.2081 0.5000

=====

## Te2AsRu (PBE)

Data for a relaxed Te2AsRu crystal.

- Calculated total energy: -17.58 eV/cell
- Magnetic moment: 0.0 μB per cell
- Formation energy (no corrections): 63.4 kJ per mole of atoms

Cell lengths 3.4536, 4.6955, 5.1820 Å; angles 90.00, 90.00, 90.00 degrees
Sites, in units of the cell vectors:
Te 0.0000 0.0000 0.0000
Te 0.5000 0.0000 0.5000
As 0.0000 0.5000 0.5000
Ru 0.5000 0.5000 0.0000

=====

## Rb2TcO4 (PBE)

Data for a relaxed Rb2TcO4 crystal.

- Calculated total energy: -85.42 eV/cell
- Magnetic moment: 1.1 μB per cell
- Relative energy among the computed polymorphs: 0.90 eV per formula unit
- Formation energy (no corrections): -145.8 kJ per mole of atoms

Cell lengths 3.9968, 3.9968, 14.3622 Å; angles 90.00, 90.00, 90.00 degrees
Sites, in units of the cell vectors:
Rb 0.0000 0.0000 0.1520
Rb 0.0000 0.0000 0.8480
Rb 0.5000 0.5000 0.3481
Rb 0.5000 0.5000 0.6520
Tc 0.0000 0.0000 0.5000
Tc 0.5000 0.5000 0.0000
O 0.0000 0.0000 0.3705
O 0.0000 0.0000 0.6295
O 0.0000 0.5000 0.0000
O 0.0000 0.5000 0.5000
O 0.5000 0.0000 0.0000
O 0.5000 0.0000 0.5000
O 0.5000 0.5000 0.1295
O 0.5000 0.5000 0.8705

=====

## Nb3Ga2Co4 (PBE)

Data for a relaxed Nb3Ga2Co4 crystal.

- Calculated total energy: -66.66 eV/cell
- Magnetic moment: 2.6 μB per cell
- ΔH_f (0 K): -0.219 eV per atom

Cell lengths 4.2427, 4.2427, 7.9918 Å; angles 90.00, 90.00, 120.00 degrees
Sites, in units of the cell vectors:
Nb 0.0000 0.0000 0.0000
Nb 0.3333 0.6667 0.5776
Nb 0.6667 0.3333 0.4224
Ga 0.3333 0.6667 0.2163
Ga 0.6667 0.3333 0.7837
Co 0.0000 0.0000 0.3320
Co 0.0000 0.0000 0.6680
Co 0.3333 0.6667 0.9021
Co 0.6667 0.3333 0.0979

=====

## PmHo2C2 (PBE)

Data for a relaxed PmHo2C2 crystal.

- Calculated total energy: -66.48 eV/cell
- Magnetic moment: 1.5 μB per cell
- ΔH_f (0 K): -0.177 eV per atom

Cell lengths 3.6816, 5.0463, 11.2962 Å; angles 90.00, 90.00, 90.00 degrees
Sites, in units of the cell vectors:
Pm 0.0000 0.0000 0.0000
Pm 0.5000 0.5000 0.5000
Ho 0.0000 0.0000 0.3106
Ho 0.0000 0.0000 0.6894
Ho 0.5000 0.5000 0.1894
Ho 0.5000 0.5000 0.8106
C 0.0000 0.5000 0.3326
C 0.0000 0.5000 0.6674
C 0.5000 0.0000 0.1674
C 0.5000 0.0000 0.8326

=====

## BaYMoBr2 (PBE)

Data for a relaxed BaYMoBr2 crystal.

- Calculated total energy: -22.25 eV/cell
- Magnetic moment: 0.1 μB per cell
- Formation energy (no corrections): 6.0 kJ per mole of atoms

Cell lengths 5.4750, 5.4750, 5.2104 Å; angles 90.00, 90.00, 90.00 degrees
Sites, in units of the cell vectors:
Ba 0.0000 0.0000 0.0000
Y 0.5000 0.5000 0.0000
Mo 0.5000 0.5000 0.5000
Br 0.0000 0.5000 0.5000
Br 0.5000 0.0000 0.5000

=====

## ReSiI2N (PBE)

Data for a relaxed ReSiI2N crystal.

- Calculated total energy: -23.13 eV/cell
- Magnetic moment: 0.0 μB per cell
- Relative energy among the computed polymorphs: 2.31 eV per formula unit
- Formation energy (no corrections): 119.1 kJ per mole of atoms

Cell lengths 5.4615, 5.4615, 3.2689 Å; angles 90.00, 90.00, 90.00 degrees
Sites, in units of the cell vectors:
Re 0.0000 0.0000 0.0000
Si 0.5000 0.5000 0.5000
I 0.0000 0.5000 0.5000
I 0.5000 0.0000 0.5000
N 0.5000 0.5000 0.0000

=====

## CsK2AuBr (PBE)

Data for a relaxed CsK2AuBr crystal.

- Calculated total energy: -10.98 eV/cell
- Magnetic moment: 0.0 μB per cell
- Formation energy (no corrections): -57.6 kJ per mole of atoms

Cell lengths 6.3099, 6.3099, 6.8986 Å; angles 90.00, 90.00, 90.00 degrees
Sites, in units of the cell vectors:
Cs 0.0000 0.0000 0.0000
K 0.0000 0.5000 0.5000
K 0.5000 0.0000 0.5000
Au 0.0000 0.0000 0.5000
Br 0.5000 0.5000 0.0000

=====

## ZrCuF3 (PBE)

Data for a relaxed ZrCuF3 crystal.

- Calculated total energy: -28.28 eV/cell
- Magnetic moment: 0.8 μB per cell
- Relative energy among the computed polymorphs: 0.00 eV per formula unit
- Formation energy (no corrections): -193.3 kJ per mole of atoms

Cell lengths 4.2794, 4.2794, 4.2794 Å; angles 90.00, 90.00, 90.00 degrees
Sites, in units of the cell vectors:
Zr 0.0000 0.0000 0.0000
Cu 0.5000 0.5000 0.5000
F 0.0000 0.0000 0.5000
F 0.0000 0.5000 0.0000
F 0.5000 0.0000 0.0000

=====

## TePtRh3 (PBE)

Data for a relaxed TePtRh3 crystal.

- Calculated total energy: -25.37 eV/cell
- Magnetic moment: 0.9 μB per cell
- Relative energy among the computed polymorphs: 0.00 eV per formula unit
- Formation energy (no corrections): 113.3 kJ per mole of atoms

Cell lengths 4.7643, 4.7643, 4.7643 Å; angles 90.00, 90.00, 90.00 degrees
Sites, in units of the cell vectors:
Te 0.0000 0.0000 0.0000
Pt 0.5000 0.5000 0.5000
Rh 0.0000 0.0000 0.5000
Rh 0.0000 0.5000 0.0000
Rh 0.5000 0.0000 0.0000

=====

## Tb8Te4As3C (PBE)

Data for a relaxed Tb8Te4As3C crystal.

- Calculated total energy: -94.19 eV/cell
- Magnetic moment: 0.0 μB per cell
- Formation energy (no corrections): -129.1 kJ per mole of atoms

Cell lengths 8.5300, 8.5300, 8.5300 Å; angles 58.15, 58.15, 58.15 degrees
Sites, in units of the cell vectors:
Tb 0.2399 0.2399 0.2399
Tb 0.2617 0.7219 0.7219
Tb 0.2781 0.2781 0.7383
Tb 0.2781 0.7383 0.2781
Tb 0.7219 0.2617 0.7219
Tb 0.7219 0.7219 0.2617
Tb 0.7383 0.2781 0.2781
Tb 0.7601 0.7601 0.7601
Te 0.0000 0.0000 0.0000
Te 0.0000 0.5000 0.5000
Te 0.5000 0.0000 0.5000
Te 0.5000 0.5000 0.0000
As 0.0000 0.0000 0.5000
As 0.0000 0.5000 0.0000
As 0.5000 0.0000 0.0000
C 0.5000 0.5000 0.5000

=====

## ZrZn3Pd (PBE)

Data for a relaxed ZrZn3Pd crystal.

- Calculated total energy: -76.19 eV/cell
- Magnetic moment: 0.0 μB per cell
- Relative energy among the computed polymorphs: 0.00 eV per formula unit
- ΔH_f (0 K): -0.297 eV per atom

Cell lengths 8.4152, 3.6920, 10.8102 Å; angles 90.00, 90.00, 90.00 degrees
Sites, in units of the cell vectors:
Zr 0.1636 0.2500 0.0056
Zr 0.3364 0.7500 0.5056
Zr 0.6636 0.2500 0.4944
Zr 0.8364 0.7500 0.9944
Zn 0.1102 0.7500 0.2109
Zn 0.1152 0.2500 0.6193
Zn 0.1189 0.7500 0.7991
Zn 0.3811 0.2500 0.2991
Zn 0.3848 0.7500 0.1193
Zn 0.3898 0.2500 0.7109
Zn 0.6102 0.7500 0.2891
Zn 0.6152 0.2500 0.8807
Zn 0.6189 0.7500 0.7009
Zn 0.8811 0.2500 0.2009
Zn 0.8848 0.7500 0.3807
Zn 0.8898 0.2500 0.7891
Pd 0.0977 0.2500 0.3864
Pd 0.4023 0.7500 0.8864
Pd 0.5977 0.2500 0.1136
Pd 0.9023 0.7500 0.6136

=====

## Ga2Ag2Se3S (PBE)

Data for a relaxed Ga2Ag2Se3S crystal.

- Calculated total energy: -60.10 eV/cell
- Magnetic moment: 0.0 μB per cell
- Formation energy (no corrections): -44.8 kJ per mole of atoms

Cell lengths 12.5039, 6.0205, 5.9403 Å; angles 90.00, 117.79, 90.00 degrees
Sites, in units of the cell vectors:
Ga 0.1234 0.0000 0.3776
Ga 0.3766 0.5000 0.6224
Ga 0.6234 0.5000 0.3776
Ga 0.8766 0.0000 0.6224
Ag 0.1172 0.5125 0.8462
Ag 0.3828 0.0125 0.1538
Ag 0.6172 0.0125 0.8462
Ag 0.8828 0.5125 0.1538
Se 0.0000 0.2251 0.0000
Se 0.2472 0.7475 0.2729
Se 0.2528 0.2475 0.7271
Se 0.5000 0.7251 0.0000
Se 0.7472 0.2475 0.2729
Se 0.7528 0.7475 0.7271
S 0.0000 0.7970 0.5000
S 0.5000 0.2970 0.5000

=====

## AgPtCl2 (PBE)

Data for a relaxed AgPtCl2 crystal.

- Calculated total energy: -11.99 eV/cell
- Magnetic moment: 0.0 μB per cell
- Relative energy among the computed polymorphs: 1.09 eV per formula unit
- Formation energy (no corrections): 14.3 kJ per mole of atoms

Cell lengths 4.1611, 3.5530, 5.3262 Å; angles 90.00, 99.89, 90.00 degrees
Sites, in units of the cell vectors:
Ag 0.0000 0.0000 0.0000
Pt 0.5000 0.5000 0.5000
Cl 0.0000 0.0000 0.5000
Cl 0.5000 0.5000 0.0000

=====

## Pr7YHo4 (PBE)

Data for a relaxed Pr7YHo4 crystal.

- Calculated total energy: -55.67 eV/cell
- Magnetic moment: 0.1 μB per cell
- Relative energy among the computed polymorphs: 2.45 eV per formula unit
- ΔH_f (0 K): 0.213 eV per atom

Cell lengths 8.6838, 8.6838, 9.5620 Å; angles 115.49, 115.49, 40.81 degrees
Sites, in units of the cell vectors:
Pr 0.0000 0.0000 0.0000
Pr 0.2795 0.2795 0.7489
Pr 0.2869 0.2869 0.1102
Pr 0.4117 0.4117 0.5450
Pr 0.5883 0.5883 0.4550
Pr 0.7131 0.7131 0.8898
Pr 0.7205 0.7205 0.2511
Y 0.5000 0.5000 0.0000
Ho 0.0672 0.0672 0.7010
Ho 0.1677 0.1677 0.3687
Ho 0.8323 0.8323 0.6313
Ho 0.9328 0.9328 0.2990

=====

## KTaAg (PBE)

Data for a relaxed KTaAg crystal.

- Calculated total energy: -26.62 eV/cell
- Magnetic moment: 0.0 μB per cell
- Relative energy among the computed polymorphs: 0.10 eV per formula unit
- ΔH_f (0 K): 0.830 eV per atom

Cell lengths 2.9776, 2.9776, 16.0117 Å; angles 90.00, 90.00, 90.00 degrees
Sites, in units of the cell vectors:
K 0.0000 0.0000 0.0000
K 0.5000 0.5000 0.5000
Ta 0.0000 0.0000 0.7001
Ta 0.5000 0.5000 0.2001
Ag 0.0000 0.0000 0.3242
Ag 0.5000 0.5000 0.8242

=====

## KTcRu2 (PBE)

Data for a relaxed KTcRu2 crystal.

- Calculated total energy: -24.41 eV/cell
- Magnetic moment: 1.5 μB per cell
- Relative energy among the computed polymorphs: 3.01 eV per formula unit
- ΔH_f (0 K): 1.400 eV per atom

Cell lengths 4.8942, 4.8942, 2.8025 Å; angles 90.00, 90.00, 90.00 degrees
Sites, in units of the cell vectors:
K 0.0000 0.0000 0.0000
Tc 0.5000 0.5000 0.0000
Ru 0.0000 0.5000 0.5000
Ru 0.5000 0.0000 0.5000